No. 1
Density functional theory data (PBE) for an optimized crystal structure of Pr2LuTh.

a b c (Å): 8.134 8.134 8.134
angles (deg): 90.00 90.00 90.00
Fractional positions:
Pr  0.250  0.250  0.250
Pr  0.250  0.250  0.750
Pr  0.250  0.750  0.250
Pr  0.250  0.750  0.750
Pr  0.750  0.250  0.250
Pr  0.750  0.250  0.750
Pr  0.750  0.750  0.250
Pr  0.750  0.750  0.750
Lu  0.000  0.000  0.000
Lu  0.000  0.500  0.500
Lu  0.500  0.000  0.500
Lu  0.500  0.500  0.000
Th  0.000  0.000  0.500
Th  0.000  0.500  0.000
Th  0.500  0.000  0.000
Th  0.500  0.500  0.500

Output
- V (Å³/cell) = 538.2
- SG = Fm-3m (225)
- energy relative to the elements (kJ per mole of atoms) = 21
- final energy (eV per atom) = -5.16

No. 2
Density functional theory data (PBE) for an optimized crystal structure of NaErVBr6.

a b c (Å): 6.910 6.910 13.505
angles (deg): 90.00 90.00 120.00
Fractional positions:
Na  0.000  0.000  0.000
Na  0.000  0.000  0.500
Er  0.333  0.667  0.250
Er  0.667  0.333  0.750
V  0.333  0.667  0.750
V  0.667  0.333  0.250
Br  0.015  0.364  0.635
Br  0.015  0.651  0.865
Br  0.349  0.364  0.865
Br  0.349  0.985  0.635
Br  0.364  0.015  0.135
Br  0.364  0.349  0.365
Br  0.636  0.651  0.635
Br  0.636  0.985  0.865
Br  0.651  0.015  0.365
Br  0.651  0.636  0.135
Br  0.985  0.349  0.135
Br  0.985  0.636  0.365

Output
- V (Å³/cell) = 558.5
- SG = P-31c (163)
- uncorrected formation energy (eV/atom) = -1.434
- final energy (eV per atom) = -4.22

No. 3
Density functional theory data (PBE) for an optimized crystal structure of BeRe2Hg.

a b c (Å): 2.950 4.702 8.886
angles (deg): 90.00 90.00 90.00
Fractional positions:
Be  0.000  0.000  0.000
Be  0.500  0.500  0.000
Re  0.000  0.000  0.545
Re  0.000  0.500  0.787
Re  0.500  0.000  0.787
Re  0.500  0.500  0.545
Hg  0.000  0.500  0.246
Hg  0.500  0.000  0.246

Output
- V (Å³/cell) = 123.3
- SG = Cmm2 (35)
- energy relative to the elements (kJ per mole of atoms) = 49
- final energy (eV per atom) = -6.73